! KCu2NiF8 | the Alexandria database | PBE with a Hubbard U | relaxed; values from VASP
&SYSTEM
  ibrav = 0, nat = 12, ntyp = 4
/
ATOMIC_SPECIES
K 39.10 K.upf
Cu 63.55 Cu.upf
Ni 58.69 Ni.upf
F 19.00 F.upf
CELL_PARAMETERS angstrom
-2.777 2.777 5.019
2.777 -2.777 5.019
2.777 2.777 -5.019
ATOMIC_POSITIONS angstrom
K 0.000 0.000 0.000
Cu 0.000 0.000 5.019
Cu 0.000 2.777 2.510
Ni 2.777 0.000 2.510
F 3.897 1.604 -2.644
F 2.419 1.051 0.112
F 1.726 -0.357 4.907
F -1.121 1.173 2.376
F 1.051 3.134 -0.112
F 1.604 1.656 2.644
F 0.357 1.726 5.131
F 1.173 1.121 7.663
! - uncorrected energy (Ha/atom) = -0.14644